1.
## FeAuN2 (GGA-PBE)

Data for crystalline FeAuN2 at its relaxed geometry.

a b c (Å): 5.3934 5.3934 5.3934
angles (deg): 126.63 126.63 78.86
Last column: nearest neighbours and their distance in Å.
Fractional positions:
Fe1 0.0000 0.0000 0.0000  4 N 1.78
Fe2 0.7500 0.2500 0.5000  4 N 1.78
Au1 0.2500 0.7500 0.5000  4 N 2.28
Au2 0.5000 0.5000 0.0000  4 N 2.28
N1 0.0380 0.6250 0.9130  2 Fe 1.78
N2 0.3750 0.2880 0.4130  2 Fe 1.78
N3 0.7120 0.1250 0.0870  2 Fe 1.78
N4 0.8750 0.9620 0.5870  2 Fe 1.78

Results
- N(E_F): 3.13 states/eV/cell
- Space group: I-42d, No. 122
- Uncorrected formation energy: 0.615 eV per atom
- DFT total energy: -51.9 eV for the cell shown

***

2.
## FeAu2N (GGA-PBE)

Data for crystalline FeAu2N at its relaxed geometry.

a b c (Å): 4.8055 4.8055 5.3549
angles (deg): 99.89 99.89 34.63
Last column: nearest neighbours and their distance in Å.
Fractional positions:
Fe1 0.0000 0.0000 0.0000  2 N 1.70
Au1 0.5090 0.5090 0.4481  1 N 2.16
Au2 0.7485 0.7485 0.1937  3 Fe 2.70-2.73, 5 Au 2.79-2.91, 1 N 3.00
N1 0.4598 0.4598 0.8281  2 Fe 1.70

Results
- N(E_F): 2.59 states/eV/cell
- Space group: Cm, No. 8
- Uncorrected formation energy: 0.389 eV per atom
- DFT total energy: -21.8 eV for the cell shown

***

3.
## FeAu2N (GGA-PBE)

Data for crystalline FeAu2N at its relaxed geometry.

a b c (Å): 2.9192 4.7639 4.7639
angles (deg): 94.70 90.00 90.00
Last column: nearest neighbours and their distance in Å.
Fractional positions:
Fe1 0.0000 0.0000 0.0000  2 N 1.72
Au1 0.5000 0.5232 0.9187  1 N 2.18
Au2 0.5000 0.9187 0.5232  1 N 2.18
N1 0.5000 0.1423 0.1423  2 Fe 1.72

Results
- N(E_F): 2.37 states/eV/cell
- Space group: Amm2, No. 38
- Uncorrected formation energy: 0.385 eV per atom
- DFT total energy: -21.8 eV for the cell shown

***

4.
## FeAuN3 (GGA-PBE)

Data for crystalline FeAuN3 at its relaxed geometry.

a b c (Å): 3.7119 3.7119 3.7119
angles (deg): 90.00 90.00 90.00
Last column: nearest neighbours and their distance in Å.
Fractional positions:
Fe1 0.0000 0.0000 0.0000  6 N 1.86
Au1 0.5000 0.5000 0.5000  12 N 2.62
N1 0.0000 0.0000 0.5000  2 Fe 1.86
N2 0.0000 0.5000 0.0000  2 Fe 1.86
N3 0.5000 0.0000 0.0000  2 Fe 1.86

Results
- N(E_F): 10.10 states/eV/cell
- Space group: Pm-3m, No. 221
- Uncorrected formation energy: 1.612 eV per atom
- DFT total energy: -28.7 eV for the cell shown

***

5.
## FeAu2N (GGA-PBE)

Data for crystalline FeAu2N at its relaxed geometry.

a b c (Å): 7.8078 7.8078 7.8078
angles (deg): 21.68 21.68 21.68
Last column: nearest neighbours and their distance in Å.
Fractional positions:
Fe1 0.0000 0.0000 0.0000  3 N 1.78
Au1 0.2054 0.2054 0.2054  1 N 2.40
Au2 0.7655 0.7655 0.7655  3 Fe 2.83, 9 Au 2.94-2.97
N1 0.3102 0.3102 0.3102  3 Fe 1.78

Results
- N(E_F): 2.17 states/eV/cell
- Space group: R3m, No. 160
- Uncorrected formation energy: 0.129 eV per atom
- DFT total energy: -22.8 eV for the cell shown

***

6.
## FeAuN3 (GGA-PBE)

Data for crystalline FeAuN3 at its relaxed geometry.

a b c (Å): 3.9949 3.9949 3.9949
angles (deg): 90.00 90.00 90.00
Last column: nearest neighbours and their distance in Å.
Fractional positions:
Fe1 0.0000 0.0000 0.0000  12 N 2.82
Au1 0.5000 0.5000 0.5000  6 N 2.00
N1 0.0000 0.5000 0.5000  2 Au 2.00
N2 0.5000 0.0000 0.5000  2 Au 2.00
N3 0.5000 0.5000 0.0000  2 Au 2.00

Results
- N(E_F): 4.88 states/eV/cell
- Space group: Pm-3m, No. 221
- Uncorrected formation energy: 2.580 eV per atom
- DFT total energy: -23.8 eV for the cell shown

***

7.
## FeAuN2 (GGA-PBE)

Data for crystalline FeAuN2 at its relaxed geometry.

a b c (Å): 6.1229 6.1229 6.1229
angles (deg): 30.66 30.66 30.66
Last column: nearest neighbours and their distance in Å.
Fractional positions:
Fe1 0.0000 0.0000 0.0000  2 N 1.84
Au1 0.5000 0.5000 0.5000  6 N 2.16
N1 0.1051 0.1051 0.1051  1 Fe 1.84
N2 0.8949 0.8949 0.8949  1 Fe 1.84

Results
- N(E_F): 2.40 states/eV/cell
- Space group: R-3m, No. 166
- Uncorrected formation energy: 1.210 eV per atom
- DFT total energy: -23.6 eV for the cell shown

***

8.
## FeAu2N (GGA-PBE)

Data for crystalline FeAu2N at its relaxed geometry.

a b c (Å): 6.3401 6.3401 6.3401
angles (deg): 94.36 94.36 148.01
Last column: nearest neighbours and their distance in Å.
Fractional positions:
Fe1 0.0000 0.0000 0.0000  2 N 1.75
Fe2 0.7500 0.2500 0.5000  2 N 1.75
Au1 0.2533 0.6250 0.1283  2 N 2.44
Au2 0.3750 0.5033 0.6283  2 N 2.44
Au3 0.4967 0.1250 0.8717  2 N 2.44
Au4 0.8750 0.7467 0.3717  2 N 2.44
N1 0.2500 0.7500 0.5000  2 Fe 1.75
N2 0.5000 0.5000 0.0000  2 Fe 1.75

Results
- N(E_F): 6.40 states/eV/cell
- Space group: I-42d, No. 122
- Uncorrected formation energy: 0.701 eV per atom
- DFT total energy: -41.1 eV for the cell shown

***

- What is the N(E_F) in the third record?
  2.37 states/eV/cell

***

What did the sixth record say?
## FeAuN3 (GGA-PBE)

Data for crystalline FeAuN3 at its relaxed geometry.

a b c (Å): 3.9949 3.9949 3.9949
angles (deg): 90.00 90.00 90.00
Last column: nearest neighbours and their distance in Å.
Fractional positions:
Fe1 0.0000 0.0000 0.0000  12 N 2.82
Au1 0.5000 0.5000 0.5000  6 N 2.00
N1 0.0000 0.5000 0.5000  2 Au 2.00
N2 0.5000 0.0000 0.5000  2 Au 2.00
N3 0.5000 0.5000 0.0000  2 Au 2.00

Results
- N(E_F): 4.88 states/eV/cell
- Space group: Pm-3m, No. 221
- Uncorrected formation energy: 2.580 eV per atom
- DFT total energy: -23.8 eV for the cell shown

***

Please write out number 8 again, unchanged.
## FeAu2N (GGA-PBE)

Data for crystalline FeAu2N at its relaxed geometry.

a b c (Å): 6.3401 6.3401 6.3401
angles (deg): 94.36 94.36 148.01
Last column: nearest neighbours and their distance in Å.
Fractional positions:
Fe1 0.0000 0.0000 0.0000  2 N 1.75
Fe2 0.7500 0.2500 0.5000  2 N 1.75
Au1 0.2533 0.6250 0.1283  2 N 2.44
Au2 0.3750 0.5033 0.6283  2 N 2.44
Au3 0.4967 0.1250 0.8717  2 N 2.44
Au4 0.8750 0.7467 0.3717  2 N 2.44
N1 0.2500 0.7500 0.5000  2 Fe 1.75
N2 0.5000 0.5000 0.0000  2 Fe 1.75

Results
- N(E_F): 6.40 states/eV/cell
- Space group: I-42d, No. 122
- Uncorrected formation energy: 0.701 eV per atom
- DFT total energy: -41.1 eV for the cell shown

***

Repeat the fourth record exactly.
## FeAuN3 (GGA-PBE)

Data for crystalline FeAuN3 at its relaxed geometry.

a b c (Å): 3.7119 3.7119 3.7119
angles (deg): 90.00 90.00 90.00
Last column: nearest neighbours and their distance in Å.
Fractional positions:
Fe1 0.0000 0.0000 0.0000  6 N 1.86
Au1 0.5000 0.5000 0.5000  12 N 2.62
N1 0.0000 0.0000 0.5000  2 Fe 1.86
N2 0.0000 0.5000 0.0000  2 Fe 1.86
N3 0.5000 0.0000 0.0000  2 Fe 1.86

Results
- N(E_F): 10.10 states/eV/cell
- Space group: Pm-3m, No. 221
- Uncorrected formation energy: 1.612 eV per atom
- DFT total energy: -28.7 eV for the cell shown